# 1
Entry from Alexandria via LeMat-Bulk: a relaxed V4MoPt5 crystal (GGA-PBE).

a = 2.712 Å, b = 2.712 Å, c = 19.768 Å
α = 90.00°, β = 90.00°, γ = 90.00°
Fractional positions:
V (0.000, 0.000, 0.099)
V (0.000, 0.000, 0.296)
V (0.000, 0.000, 0.704)
V (0.000, 0.000, 0.901)
Mo (0.000, 0.000, 0.500)
Pt (0.500, 0.500, 0.000)
Pt (0.500, 0.500, 0.197)
Pt (0.500, 0.500, 0.393)
Pt (0.500, 0.500, 0.607)
Pt (0.500, 0.500, 0.803)

Results
The total DFT energy (no corrections) is -8.2613 eV per atom. The crystal system is tetragonal.

---

# 2
Entry from Alexandria via LeMat-Bulk: a relaxed V2MoPt crystal (GGA-PBE).

a = 3.117 Å, b = 3.117 Å, c = 6.016 Å
α = 90.00°, β = 90.00°, γ = 90.00°
Fractional positions:
V (0.000, 0.000, 0.236)
V (0.000, 0.000, 0.764)
Mo (0.500, 0.500, 0.000)
Pt (0.500, 0.500, 0.500)

Results
The total DFT energy (no corrections) is -9.0604 eV per atom. The crystal system is tetragonal.